Below is Cs7K2Cd after structural relaxation, with properties calculated at the PBE level.

Results
energy relative to the elements: 0.005 eV per atom

Cell: 22.3485 13.2887 15.4238 Å, 90.00 126.91 90.00°
Space group C2/c (No. 15)
Inequivalent atoms, fractional coordinates:
Cs1 0.0000 0.1202 0.2500
Cs2 0.0860 0.3567 0.1022
Cs3 0.1316 0.2661 0.7990
Cs4 0.1965 0.3940 0.5181
K1 0.1421 0.0058 0.0968
Cd1 0.0000 0.4887 0.2500